## AsP2Pb (PBEsol)

Data for an optimized crystal structure of AsP2Pb.

The structure in POSCAR format:
```
AsP2Pb
1.0
-0.814 -1.774 2.620
0.100 -4.417 -2.960
4.764 2.533 1.158
Pb As P
1 1 2
Direct
0.511 0.511 0.022 Pb
0.700 0.200 0.400 As
0.982 0.982 0.963 P
0.307 0.807 0.615 P
```

Output
VASP energy: -19.58 eV for the cell shown
Total magnetization: 0.000 μB/f.u.
Calculated volume: 19.773 Å³/atom
DOS(E_F): 1.433 states/eV/f.u.

## ScRe2Ir (PBEsol)

Data for an optimized crystal structure of ScRe2Ir.

The structure in POSCAR format:
```
ScRe2Ir
1.0
-2.194 -2.102 0.029
0.578 -0.544 4.286
-3.130 3.279 0.839
Sc Re Ir
1 2 1
Direct
0.500 0.000 0.500 Sc
0.500 0.500 0.000 Re
0.000 0.000 0.000 Re
0.000 0.500 0.500 Ir
```

Output
VASP energy: -43.59 eV for the cell shown
Total magnetization: 0.000 μB/f.u.
Calculated volume: 15.265 Å³/atom
DOS(E_F): 3.401 states/eV/f.u.

## TmSiPt (PBEsol)

Data for an optimized crystal structure of TmSiPt.

The structure in POSCAR format:
```
TmSiPt
1.0
-4.064 -0.745 -0.884
0.123 -5.479 4.053
-2.003 4.167 5.694
Si Pt Tm
4 4 4
Direct
0.750 0.186 0.588 Si
0.250 0.814 0.412 Si
0.750 0.686 0.912 Si
0.250 0.314 0.088 Si
0.250 0.200 0.414 Pt
0.750 0.800 0.586 Pt
0.250 0.700 0.086 Pt
0.750 0.300 0.914 Pt
0.250 0.997 0.800 Tm
0.750 0.503 0.300 Tm
0.250 0.497 0.700 Tm
0.750 0.003 0.200 Tm
```

Output
Total magnetization: 0.000 μB/f.u.
Calculated volume: 17.603 Å³/atom
Uncorrected formation energy: -1265 meV/atom
DOS(E_F): 1.207 states/eV/f.u.

## InCo2H (PBEsol)

Data for an optimized crystal structure of InCo2H.

The structure in POSCAR format:
```
InCo2H
1.0
-2.636 -1.420 -2.719
-0.583 -3.986 -0.362
-3.480 -1.655 1.230
In Co H
1 2 1
Direct
0.500 0.500 0.500 In
0.250 0.250 0.250 Co
0.750 0.750 0.750 Co
0.000 0.000 0.000 H
```

Output
VASP energy: -18.50 eV for the cell shown
Total magnetization: 1.210 μB/f.u.
Calculated volume: 11.697 Å³/atom
DOS(E_F): 6.771 states/eV/f.u.

## BaCrTe2 (PBEsol)

Data for an optimized crystal structure of BaCrTe2.

The structure in POSCAR format:
```
BaCrTe2
1.0
3.953 0.000 0.000
0.000 5.467 0.000
0.000 0.000 5.467
Te Cr Ba
2 1 1
Direct
0.000 0.500 0.000 Te
0.000 0.000 0.500 Te
0.500 0.500 0.500 Cr
0.500 0.000 0.000 Ba
```

Output
Total magnetization: 4.088 μB/f.u.
Calculated volume: 29.536 Å³/atom
Uncorrected formation energy: -353 meV/atom
DOS(E_F): 1.533 states/eV/f.u.

## Zn36Ga5Ni8 (PBEsol)

Data for an optimized crystal structure of Zn36Ga5Ni8.

The structure in POSCAR format:
```
Zn36Ga5Ni8
1.0
8.701 0.000 0.000
0.000 8.701 0.000
0.000 0.000 8.701
Ni Zn Ga
8 36 5
Direct
0.176 0.176 0.824 Ni
0.824 0.176 0.176 Ni
0.176 0.824 0.176 Ni
0.665 0.665 0.335 Ni
0.335 0.335 0.335 Ni
0.824 0.824 0.824 Ni
0.665 0.335 0.665 Ni
0.335 0.665 0.665 Ni
0.500 0.139 0.500 Zn
0.294 0.946 0.706 Zn
0.500 0.500 0.139 Zn
0.179 0.821 0.462 Zn
0.706 0.294 0.946 Zn
0.000 0.687 0.000 Zn
0.054 0.706 0.706 Zn
0.946 0.706 0.294 Zn
0.179 0.538 0.179 Zn
0.500 0.861 0.500 Zn
0.139 0.500 0.500 Zn
0.821 0.179 0.462 Zn
0.179 0.462 0.821 Zn
0.294 0.706 0.946 Zn
0.313 0.000 0.000 Zn
0.706 0.054 0.706 Zn
0.861 0.500 0.500 Zn
0.821 0.821 0.538 Zn
0.462 0.821 0.179 Zn
0.706 0.946 0.294 Zn
0.054 0.294 0.294 Zn
0.294 0.294 0.054 Zn
0.000 0.000 0.313 Zn
0.462 0.179 0.821 Zn
0.821 0.538 0.821 Zn
0.500 0.500 0.861 Zn
0.294 0.054 0.294 Zn
0.179 0.179 0.538 Zn
0.538 0.821 0.821 Zn
0.706 0.706 0.054 Zn
0.000 0.000 0.687 Zn
0.946 0.294 0.706 Zn
0.821 0.462 0.179 Zn
0.000 0.313 0.000 Zn
0.538 0.179 0.179 Zn
0.687 0.000 0.000 Zn
0.616 0.616 0.616 Ga
0.616 0.384 0.384 Ga
0.384 0.384 0.616 Ga
0.384 0.616 0.384 Ga
0.000 0.000 0.000 Ga
```

Output
VASP energy: -131.33 eV for the cell shown
Total magnetization: 0.001 μB/f.u.
Calculated volume: 13.445 Å³/atom
DOS(E_F): 6.109 states/eV/f.u.

## Ba5Sr24 (PBEsol)

Data for an optimized crystal structure of Ba5Sr24.

The structure in POSCAR format:
```
Ba5Sr24
1.0
-4.500 8.774 7.985
-9.318 -8.006 -3.175
9.371 -6.438 5.634
Sr Ba
24 5
Direct
0.191 0.000 0.379 Sr
0.594 0.274 0.594 Sr
0.594 0.594 0.274 Sr
0.274 0.594 0.594 Sr
0.000 0.191 0.379 Sr
0.809 0.809 0.188 Sr
0.809 0.188 0.809 Sr
0.319 0.319 0.726 Sr
0.000 0.379 0.191 Sr
0.191 0.379 0.000 Sr
0.681 0.406 0.000 Sr
0.406 0.000 0.681 Sr
0.379 0.191 0.000 Sr
0.379 0.000 0.191 Sr
0.000 0.406 0.681 Sr
0.621 0.812 0.621 Sr
0.000 0.681 0.406 Sr
0.681 0.000 0.406 Sr
0.406 0.681 0.000 Sr
0.188 0.809 0.809 Sr
0.319 0.726 0.319 Sr
0.726 0.319 0.319 Sr
0.812 0.621 0.621 Sr
0.621 0.621 0.812 Sr
0.000 0.000 0.000 Ba
0.000 0.000 0.637 Ba
0.363 0.363 0.363 Ba
0.000 0.637 0.000 Ba
0.637 0.000 0.000 Ba
```

Output
VASP energy: -53.70 eV for the cell shown
Total magnetization: 0.005 μB/f.u.
Calculated volume: 54.229 Å³/atom
DOS(E_F): 38.332 states/eV/f.u.

## CaMg3N (PBEsol)

Data for an optimized crystal structure of CaMg3N.

The structure in POSCAR format:
```
CaMg3N
1.0
4.582 0.000 0.000
0.000 4.582 0.000
0.000 0.000 4.582
Mg Ca N
3 1 1
Direct
0.000 0.000 0.500 Mg
0.000 0.500 0.000 Mg
0.500 0.000 0.000 Mg
0.500 0.500 0.500 Ca
0.000 0.000 0.000 N
```

Output
Total magnetization: 0.001 μB/f.u.
Calculated volume: 19.240 Å³/atom
Uncorrected formation energy: -53 meV/atom
DOS(E_F): 3.426 states/eV/f.u.

## LaBeRh3 (PBEsol)

Data for an optimized crystal structure of LaBeRh3.

The structure in POSCAR format:
```
LaBeRh3
1.0
4.778 0.000 0.000
0.000 4.778 0.000
0.000 0.000 4.778
Rh La Be
3 1 1
Direct
0.000 0.500 0.000 Rh
0.000 0.000 0.500 Rh
0.500 0.000 0.000 Rh
0.000 0.000 0.000 La
0.500 0.500 0.500 Be
```

Output
VASP energy: -26.00 eV for the cell shown
Total magnetization: 0.002 μB/f.u.
Calculated volume: 21.819 Å³/atom
DOS(E_F): 4.505 states/eV/f.u.

## Sr3Li (PBEsol)

Data for an optimized crystal structure of Sr3Li.

The structure in POSCAR format:
```
Sr3Li
1.0
-1.126 3.647 1.425
-1.136 -2.383 5.202
7.716 -0.221 1.583
Sr Li
3 1
Direct
0.411 0.500 0.233 Sr
0.589 0.500 0.767 Sr
0.000 0.000 0.500 Sr
0.000 0.000 0.000 Li
```

Output
VASP energy: -7.19 eV for the cell shown
Total magnetization: 0.000 μB/f.u.
Calculated volume: 45.607 Å³/atom
DOS(E_F): 3.031 states/eV/f.u.

## AlCoCu2 (PBEsol)

Data for an optimized crystal structure of AlCoCu2.

The structure in POSCAR format:
```
AlCoCu2
1.0
2.589 0.000 0.000
1.294 2.242 0.000
1.294 0.747 8.224
Al Cu Co
1 2 1
Direct
0.500 0.500 0.500 Al
0.749 0.749 0.754 Cu
0.251 0.251 0.246 Cu
0.000 0.000 0.000 Co
```

Output
VASP energy: -20.20 eV for the cell shown
Total magnetization: 1.598 μB/f.u.
Calculated volume: 11.933 Å³/atom
DOS(E_F): 2.472 states/eV/f.u.

## Nd2Bi7O14 (PBEsol)

Data for an optimized crystal structure of Nd2Bi7O14.

The structure in POSCAR format:
```
Nd2Bi7O14
1.0
-2.292 -1.325 -2.819
-3.424 -5.813 8.170
-4.455 9.078 -0.647
Bi Nd O
7 2 14
Direct
0.510 0.020 0.327 Bi
0.842 0.684 0.338 Bi
0.491 0.981 0.672 Bi
0.331 0.662 0.986 Bi
0.157 0.315 0.658 Bi
0.824 0.649 0.672 Bi
0.176 0.352 0.332 Bi
0.002 0.003 0.001 Nd
0.669 0.339 0.017 Nd
0.204 0.408 0.899 O
0.937 0.873 0.729 O
0.465 0.929 0.096 O
0.289 0.578 0.735 O
0.346 0.692 0.442 O
0.056 0.112 0.671 O
0.867 0.734 0.906 O
0.541 0.081 0.900 O
0.715 0.431 0.276 O
0.649 0.299 0.538 O
0.131 0.262 0.099 O
0.062 0.125 0.275 O
0.795 0.590 0.109 O
0.941 0.882 0.322 O
```

Output
Total magnetization: 0.001 μB/f.u.
Calculated volume: 16.223 Å³/atom
Uncorrected formation energy: -1643 meV/atom
DOS(E_F): 3.357 states/eV/f.u.

## Li2AlTl (PBEsol)

Data for an optimized crystal structure of Li2AlTl.

The structure in POSCAR format:
```
Li2AlTl
1.0
-1.147 0.689 2.701
3.453 -2.319 2.059
2.818 4.287 0.103
Li Al Tl
2 1 1
Direct
0.000 0.000 0.043 Li
0.000 0.500 0.711 Li
0.500 0.500 0.199 Al
0.500 0.000 0.546 Tl
```

Output
VASP energy: -11.32 eV for the cell shown
Total magnetization: 0.000 μB/f.u.
Calculated volume: 17.952 Å³/atom
DOS(E_F): 1.272 states/eV/f.u.

## K2CuRu (PBEsol)

Data for an optimized crystal structure of K2CuRu.

The structure in POSCAR format:
```
K2CuRu
1.0
-1.088 -0.150 2.553
-1.704 -2.027 -0.845
7.210 -7.164 2.651
K Cu Ru
2 1 1
Direct
0.000 0.000 0.750 K
0.000 0.000 0.250 K
0.500 0.500 0.500 Cu
0.500 0.500 0.000 Ru
```

Output
VASP energy: -12.25 eV for the cell shown
Total magnetization: 0.431 μB/f.u.
Calculated volume: 20.286 Å³/atom
DOS(E_F): 3.174 states/eV/f.u.

## Ca2ReCl (PBEsol)

Data for an optimized crystal structure of Ca2ReCl.

The structure in POSCAR format:
```
Ca2ReCl
1.0
-0.103 2.824 -1.845
-2.339 0.361 -2.406
-6.139 4.595 4.294
Ca Re Cl
2 1 1
Direct
0.250 0.250 0.251 Ca
0.750 0.750 0.749 Ca
0.000 0.000 0.000 Re
0.500 0.500 0.500 Cl
```

Output
Total magnetization: 0.741 μB/f.u.
Calculated volume: 21.130 Å³/atom
Uncorrected formation energy: -164 meV/atom
DOS(E_F): 3.080 states/eV/f.u.

## Al2BiNO (PBEsol)

Data for an optimized crystal structure of Al2BiNO.

The structure in POSCAR format:
```
Al2BiNO
1.0
-3.388 2.532 -0.240
-3.241 -4.196 1.488
0.651 1.374 5.293
O Bi Al N
1 1 2 1
Direct
0.500 0.000 0.000 O
0.000 0.000 0.000 Bi
0.000 0.500 0.000 Al
0.000 0.000 0.500 Al
0.500 0.500 0.500 N
```

Output
Total magnetization: 1.588 μB/f.u.
Calculated volume: 25.697 Å³/atom
Uncorrected formation energy: 1454 meV/atom
DOS(E_F): 2.925 states/eV/f.u.

## CrInW2Se (PBEsol)

Data for an optimized crystal structure of CrInW2Se.

The structure in POSCAR format:
```
CrInW2Se
1.0
-1.070 -1.372 4.442
3.209 -3.761 -0.388
3.613 2.901 1.766
In Cr W Se
1 1 2 1
Direct
0.000 0.000 0.000 In
0.500 0.000 0.000 Cr
0.000 0.500 0.000 W
0.000 0.000 0.500 W
0.500 0.500 0.500 Se
```

Output
Total magnetization: 0.558 μB/f.u.
Calculated volume: 23.462 Å³/atom
Uncorrected formation energy: 2648 meV/atom
DOS(E_F): 4.837 states/eV/f.u.

## Be2TlCo (PBEsol)

Data for an optimized crystal structure of Be2TlCo.

The structure in POSCAR format:
```
Be2TlCo
1.0
3.548 0.000 0.000
0.000 3.548 0.000
-1.774 -1.774 3.813
Co Be Tl
1 2 1
Direct
0.500 0.500 0.000 Co
0.000 0.000 0.000 Be
0.750 0.250 0.500 Be
0.250 0.750 0.500 Tl
```

Output
VASP energy: -16.95 eV for the cell shown
Total magnetization: 0.000 μB/f.u.
Calculated volume: 11.997 Å³/atom
DOS(E_F): 1.891 states/eV/f.u.

## BaReSeBr2 (PBEsol)

Data for an optimized crystal structure of BaReSeBr2.

The structure in POSCAR format:
```
BaReSeBr2
1.0
-2.635 -3.450 -4.181
5.416 -1.478 -2.194
0.236 -4.822 3.830
Ba Se Re Br
1 1 1 2
Direct
0.000 0.000 0.000 Ba
0.000 0.000 0.500 Se
0.500 0.500 0.500 Re
0.500 0.000 0.000 Br
0.000 0.500 0.000 Br
```

Output
Total magnetization: 4.993 μB/f.u.
Calculated volume: 44.780 Å³/atom
Uncorrected formation energy: 793 meV/atom
DOS(E_F): 4.801 states/eV/f.u.

## Ca3Zn2 (PBEsol)

Data for an optimized crystal structure of Ca3Zn2.

The structure in POSCAR format:
```
Ca3Zn2
1.0
5.097 0.000 0.000
-2.549 4.414 0.000
0.000 0.000 6.210
Zn Ca
2 3
Direct
0.333 0.667 0.856 Zn
0.667 0.333 0.144 Zn
0.667 0.333 0.663 Ca
0.000 0.000 0.000 Ca
0.333 0.667 0.337 Ca
```

Output
VASP energy: -10.17 eV for the cell shown
Total magnetization: 0.000 μB/f.u.
Calculated volume: 27.945 Å³/atom
DOS(E_F): 3.725 states/eV/f.u.

## YMn2Fe (PBEsol)

Data for an optimized crystal structure of YMn2Fe.

The structure in POSCAR format:
```
YMn2Fe
1.0
2.982 0.000 0.000
0.000 2.983 0.000
0.000 0.000 6.465
Mn Y Fe
2 1 1
Direct
0.000 0.000 0.672 Mn
0.000 0.000 0.328 Mn
0.500 0.500 0.000 Y
0.500 0.500 0.500 Fe
```

Output
VASP energy: -33.65 eV for the cell shown
Total magnetization: 1.798 μB/f.u.
Calculated volume: 14.377 Å³/atom
DOS(E_F): 4.663 states/eV/f.u.

## InCoIr2 (PBEsol)

Data for an optimized crystal structure of InCoIr2.

The structure in POSCAR format:
```
InCoIr2
1.0
-0.909 -2.194 3.666
-2.309 -3.704 -0.186
1.947 -3.829 0.793
Ir Co In
2 1 1
Direct
0.750 0.750 0.750 Ir
0.000 0.000 0.000 Ir
0.500 0.500 0.500 Co
0.250 0.250 0.250 In
```

Output
VASP energy: -29.09 eV for the cell shown
Total magnetization: 2.738 μB/f.u.
Calculated volume: 14.736 Å³/atom
DOS(E_F): 5.878 states/eV/f.u.

## Co3ReS (PBEsol)

Data for an optimized crystal structure of Co3ReS.

The structure in POSCAR format:
```
Co3ReS
1.0
4.382 0.000 0.000
0.000 4.382 0.000
0.000 0.000 4.382
Co S Re
3 1 1
Direct
0.500 0.000 0.000 Co
0.000 0.500 0.000 Co
0.000 0.000 0.500 Co
0.500 0.500 0.500 S
0.000 0.000 0.000 Re
```

Output
Total magnetization: 1.432 μB/f.u.
Calculated volume: 16.827 Å³/atom
Uncorrected formation energy: 1778 meV/atom
DOS(E_F): 10.429 states/eV/f.u.

## BaNdCo2O5 (PBEsol)

Data for an optimized crystal structure of BaNdCo2O5.

The structure in POSCAR format:
```
BaNdCo2O5
1.0
-1.833 -3.381 0.257
3.073 -1.780 -1.499
2.753 -0.975 6.803
O Nd Co Ba
5 1 2 1
Direct
0.000 0.500 0.796 O
0.500 0.000 0.204 O
0.500 0.000 0.796 O
0.000 0.500 0.204 O
0.000 0.000 0.500 O
0.500 0.500 0.000 Nd
0.000 0.000 0.244 Co
0.000 0.000 0.756 Co
0.500 0.500 0.500 Ba
```

Output
Total magnetization: 3.441 μB/f.u.
Calculated volume: 12.224 Å³/atom
Uncorrected formation energy: -2009 meV/atom
DOS(E_F): 7.863 states/eV/f.u.